Record 1
Here is an optimized crystal structure of NaTe3C from the Alexandria database. Energies are from PBE.

Structure (POSCAR):
```
NaTe3C
1.0
5.475 0.000 0.000
0.000 5.475 0.000
0.000 0.000 5.475
Te C Na
3 1 1
Direct
0.500 0.000 0.000
0.000 0.500 0.000
0.000 0.000 0.500
0.500 0.500 0.500
0.000 0.000 0.000
```

Summary:
**Symmetry**: Pm-3m, No. 221
**Raw formation energy**: 1.93 eV per atom
**Energy**: -2.07 eV/atom
**Crystal system**: cubic
**Distance to the lowest polymorph of the same formula**: 1267.8 meV/atom



Record 2
Here is an optimized crystal structure of ZnHIr from the Alexandria database. Energies are from PBE.

Structure (POSCAR):
```
ZnHIr
1.0
3.959 0.046 0.200
1.805 4.173 -0.467
1.627 -0.139 4.491
H Zn Ir
2 2 2
Direct
0.034 0.415 0.771
0.966 0.585 0.229
0.219 0.851 0.675
0.781 0.149 0.325
0.394 0.273 0.917
0.606 0.727 0.083
```

Summary:
**Symmetry**: P-1, No. 2
**Energy**: -4.40 eV/atom
**Crystal system**: triclinic
**Distance to the lowest polymorph of the same formula**: 83.8 meV/atom



Record 3
Here is an optimized crystal structure of TbDyTh3 from the Alexandria database. Energies are from PBE.

Structure (POSCAR):
```
TbDyTh3
1.0
5.598 0.000 -2.184
-1.675 10.823 -4.294
-0.298 -3.461 7.504
Th Tb Dy
6 2 2
Direct
0.670 0.170 0.840
0.670 0.670 0.840
0.330 0.330 0.160
0.000 0.500 0.500
0.330 0.830 0.160
0.000 0.000 0.500
0.306 0.250 0.500
0.694 0.750 0.500
0.500 0.000 0.000
0.000 0.500 0.000
```

Summary:
**Symmetry**: Imma, No. 74
**DFT formation energy**: 0.393 eV per atom
**Energy**: -5.91 eV/atom
**Crystal system**: orthorhombic



Record 4
Here is an optimized crystal structure of SiOsCl2 from the Alexandria database. Energies are from PBE.

Structure (POSCAR):
```
SiOsCl2
1.0
5.820 0.000 0.000
0.000 5.820 0.000
2.910 2.910 5.492
Cl Si Os
4 2 2
Direct
0.875 0.931 0.750
0.375 0.319 0.750
0.681 0.125 0.250
0.069 0.625 0.250
0.500 0.500 0.000
0.250 0.750 0.500
0.000 0.000 0.000
0.750 0.250 0.500
```

Summary:
**Symmetry**: I-42d, No. 122
**Raw formation energy**: 1.26 eV per atom
**Energy**: -3.83 eV/atom
**Crystal system**: tetragonal
**Distance to the lowest polymorph of the same formula**: 1453.6 meV/atom



Record 5
Here is an optimized crystal structure of PdPbS from the Alexandria database. Energies are from PBE.

Structure (POSCAR):
```
PdPbS
1.0
-1.689 -2.844 -3.142
2.566 -1.252 -3.558
1.571 -4.273 -0.288
S Pd Pb
1 1 1
Direct
0.000 0.000 0.000
0.250 0.250 0.250
0.500 0.500 0.500
```

Summary:
**Symmetry**: F-43m, No. 216
**Raw formation energy**: -0.20 eV per atom
**Energy**: -4.55 eV/atom
**Crystal system**: cubic



Record 6
Here is an optimized crystal structure of NiPd3 from the Alexandria database. Energies are from PBE.

Structure (POSCAR):
```
NiPd3
1.0
4.353 0.000 0.000
2.176 3.770 0.000
2.176 1.257 3.554
Pd Ni
3 1
Direct
0.750 0.750 0.750
0.000 0.000 0.000
0.250 0.250 0.250
0.500 0.500 0.500
```

Summary:
**Symmetry**: Fm-3m, No. 225
**DFT formation energy**: 0.102 eV per atom
**Energy**: -5.24 eV/atom
**Crystal system**: cubic



Record 7
Here is an optimized crystal structure of CaMnSi2 from the Alexandria database. Energies are from PBE.

Structure (POSCAR):
```
CaMnSi2
1.0
4.051 0.000 0.000
0.000 4.171 0.000
0.000 0.000 4.171
Si Ca Mn
2 1 1
Direct
0.000 0.000 0.000
0.000 0.500 0.500
0.500 0.500 0.000
0.500 0.000 0.500
```

Summary:
**Symmetry**: P4/mmm, No. 123
**Raw formation energy**: 0.10 eV per atom
**Energy**: -5.40 eV/atom
**Crystal system**: tetragonal



Record 8
Here is an optimized crystal structure of FeMoW2 from the Alexandria database. Energies are from PBE.

Structure (POSCAR):
```
FeMoW2
1.0
3.149 0.000 0.000
0.000 3.149 0.000
0.000 0.000 6.070
Mo Fe W
1 1 2
Direct
0.500 0.500 0.742
0.000 0.000 0.499
0.500 0.500 0.261
0.000 0.000 0.998
```

Summary:
**Symmetry**: P4mm, No. 99
**DFT formation energy**: 0.119 eV per atom
**Energy**: -11.18 eV/atom
**Crystal system**: tetragonal
**Distance to the lowest polymorph of the same formula**: 48.0 meV/atom



Record 9
Here is an optimized crystal structure of Pu3Se3Br from the Alexandria database. Energies are from PBE.

Structure (POSCAR):
```
Pu3Se3Br
1.0
8.851 0.000 0.000
4.426 7.665 0.000
4.426 2.555 5.838
Se Pu Br
6 6 2
Direct
0.790 0.098 0.729
0.210 0.902 0.271
0.382 0.790 0.729
0.618 0.210 0.271
0.098 0.382 0.729
0.902 0.618 0.271
0.069 0.725 0.766
0.440 0.069 0.766
0.931 0.275 0.234
0.560 0.931 0.234
0.275 0.560 0.234
0.725 0.440 0.766
0.331 0.331 0.006
0.669 0.669 0.994
```

Summary:
**Symmetry**: R-3, No. 148
**Raw formation energy**: -1.42 eV per atom
**Energy**: -9.29 eV/atom
**Crystal system**: trigonal
**Distance to the lowest polymorph of the same formula**: 108.8 meV/atom



Record 10
Here is an optimized crystal structure of TaSbW3 from the Alexandria database. Energies are from PBE.

Structure (POSCAR):
```
TaSbW3
1.0
-0.916 -3.510 -3.226
4.556 -1.611 0.460
-1.403 -2.941 3.598
W Sb Ta
3 1 1
Direct
0.000 0.500 0.000
0.500 0.000 0.000
0.000 0.000 0.500
0.500 0.500 0.500
0.000 0.000 0.000
```

Summary:
**Symmetry**: Pm-3m, No. 221
**Raw formation energy**: 2.21 eV per atom
**Energy**: -8.76 eV/atom
**Crystal system**: cubic
**Distance to the lowest polymorph of the same formula**: 0.0 meV/atom



Record 11
Here is an optimized crystal structure of Ac2PaSi3O12 from the Alexandria database. Energies are from PBE.

Structure (POSCAR):
```
Ac2PaSi3O12
1.0
6.506 -0.113 -0.080
3.115 5.713 -0.080
3.115 1.813 5.418
O Ac Pa Si
12 2 1 3
Direct
0.867 0.867 0.424
0.133 0.133 0.576
0.276 0.276 0.892
0.867 0.424 0.867
0.424 0.867 0.867
0.276 0.892 0.276
0.724 0.724 0.108
0.724 0.108 0.724
0.892 0.276 0.276
0.133 0.576 0.133
0.108 0.724 0.724
0.576 0.133 0.133
0.611 0.611 0.611
0.389 0.389 0.389
0.000 0.000 0.000
0.500 0.000 0.000
0.000 0.000 0.500
0.000 0.500 0.000
```

Summary:
**Symmetry**: R-3m, No. 166
**Raw formation energy**: -2.88 eV per atom
**Energy**: -8.07 eV/atom
**Crystal system**: trigonal



Record 12
Here is an optimized crystal structure of LiTm4Pd7 from the Alexandria database. Energies are from PBE.

Structure (POSCAR):
```
LiTm4Pd7
1.0
-2.609 3.359 -2.660
1.348 -2.224 -8.861
-5.589 -1.661 -1.347
Pd Tm Li
7 4 1
Direct
0.922 0.312 0.844
0.631 0.479 0.258
0.078 0.688 0.156
0.210 0.093 0.487
0.500 0.000 0.000
0.790 0.907 0.513
0.369 0.521 0.742
0.592 0.215 0.601
0.777 0.644 0.802
0.408 0.785 0.399
0.223 0.356 0.198
0.000 0.000 0.000
```

Summary:
**Symmetry**: C2/m, No. 12
**DFT formation energy**: -0.696 eV per atom
**Energy**: -5.37 eV/atom
**Crystal system**: monoclinic